No. 1
The following is a PBE calculation of an optimized crystal structure of AcPuRh2, from Alexandria via LeMat-Bulk.

Cell lengths 6.295, 6.295, 6.295 Å; angles 41.29, 41.29, 41.29 degrees
Atoms (fractional coordinates):
Ac: 0.000 0.000 0.000
Pu: 0.500 0.500 0.500
Rh: 0.216 0.216 0.216
Rh: 0.784 0.784 0.784

Values from the calculation:
- DFT formation energy: -0.57 eV/atom
- Relative energy among the computed polymorphs: 0.0 kJ per mole of atoms



No. 2
The following is a PBE calculation of an optimized crystal structure of AcPu4Rh5, from Alexandria via LeMat-Bulk.

Cell lengths 3.496, 3.496, 17.270 Å; angles 90.00, 90.00, 90.00 degrees
Atoms (fractional coordinates):
Ac: 0.000 0.000 0.000
Pu: 0.000 0.000 0.212
Pu: 0.000 0.000 0.404
Pu: 0.000 0.000 0.596
Pu: 0.000 0.000 0.788
Rh: 0.500 0.500 0.125
Rh: 0.500 0.500 0.309
Rh: 0.500 0.500 0.500
Rh: 0.500 0.500 0.691
Rh: 0.500 0.500 0.875

Values from the calculation:
- DFT formation energy: -0.43 eV/atom



No. 3
The following is a PBE calculation of an optimized crystal structure of Ac2Pu12Rh7, from Alexandria via LeMat-Bulk.

Cell lengths 11.624, 11.624, 4.185 Å; angles 90.00, 90.00, 120.00 degrees
Atoms (fractional coordinates):
Ac: 0.000 0.000 0.000
Ac: 0.333 0.667 0.500
Pu: 0.018 0.280 0.500
Pu: 0.082 0.693 0.000
Pu: 0.262 0.982 0.500
Pu: 0.307 0.390 0.000
Pu: 0.376 0.159 0.000
Pu: 0.541 0.422 0.500
Pu: 0.578 0.119 0.500
Pu: 0.610 0.918 0.000
Pu: 0.720 0.738 0.500
Pu: 0.783 0.624 0.000
Pu: 0.841 0.217 0.000
Pu: 0.881 0.459 0.500
Rh: 0.113 0.469 0.000
Rh: 0.217 0.211 0.500
Rh: 0.356 0.887 0.000
Rh: 0.531 0.644 0.000
Rh: 0.667 0.333 0.000
Rh: 0.789 0.006 0.500
Rh: 0.994 0.783 0.500

Values from the calculation:
- DFT formation energy: -0.24 eV/atom



No. 4
The following is a PBE calculation of an optimized crystal structure of Ac3PuRh, from Alexandria via LeMat-Bulk.

Cell lengths 5.840, 5.840, 5.840 Å; angles 90.00, 90.00, 90.00 degrees
Atoms (fractional coordinates):
Ac: 0.000 0.000 0.500
Ac: 0.000 0.500 0.000
Ac: 0.500 0.000 0.000
Pu: 0.500 0.500 0.500
Rh: 0.000 0.000 0.000

Values from the calculation:
- DFT formation energy: -0.05 eV/atom



No. 5
The following is a PBE calculation of an optimized crystal structure of AcPu2Rh3, from Alexandria via LeMat-Bulk.

Cell lengths 3.527, 3.527, 10.538 Å; angles 90.00, 90.00, 90.00 degrees
Atoms (fractional coordinates):
Ac: 0.000 0.000 0.000
Pu: 0.000 0.000 0.344
Pu: 0.000 0.000 0.656
Rh: 0.500 0.500 0.203
Rh: 0.500 0.500 0.500
Rh: 0.500 0.500 0.797

Values from the calculation:
- DFT formation energy: -0.43 eV/atom



No. 6
The following is a PBE calculation of an optimized crystal structure of Ac2PuRh, from Alexandria via LeMat-Bulk.

Cell lengths 3.757, 3.757, 8.914 Å; angles 90.00, 90.00, 90.00 degrees
Atoms (fractional coordinates):
Ac: 0.000 0.000 0.199
Ac: 0.000 0.000 0.801
Pu: 0.500 0.500 0.500
Rh: 0.500 0.500 0.000

Values from the calculation:
- DFT formation energy: -0.12 eV/atom



No. 7
The following is a PBE calculation of an optimized crystal structure of AcPuRh2, from Alexandria via LeMat-Bulk.

Cell lengths 7.149, 7.149, 7.149 Å; angles 33.96, 33.96, 33.96 degrees
Atoms (fractional coordinates):
Ac: 0.000 0.000 0.000
Pu: 0.175 0.175 0.175
Rh: 0.570 0.570 0.570
Rh: 0.779 0.779 0.779

Values from the calculation:
- DFT formation energy: -0.38 eV/atom
- Relative energy among the computed polymorphs: 18.1 kJ per mole of atoms



No. 8
The following is a PBE calculation of an optimized crystal structure of Ac2PuSb4Rh3, from Alexandria via LeMat-Bulk.

Cell lengths 4.624, 4.624, 11.833 Å; angles 90.00, 90.00, 90.00 degrees
Atoms (fractional coordinates):
Ac: 0.000 0.500 0.229
Ac: 0.500 0.000 0.771
Pu: 0.000 0.000 0.500
Sb: 0.000 0.000 0.000
Sb: 0.000 0.500 0.663
Sb: 0.500 0.000 0.337
Sb: 0.500 0.500 0.000
Rh: 0.000 0.500 0.888
Rh: 0.500 0.000 0.112
Rh: 0.500 0.500 0.500

Values from the calculation:
- Raw formation energy: -0.73 eV per atom



No. 9
The following is a PBE calculation of an optimized crystal structure of Ac2PuSb3Rh6, from Alexandria via LeMat-Bulk.

Cell lengths 4.116, 4.116, 17.269 Å; angles 90.00, 90.00, 90.00 degrees
Atoms (fractional coordinates):
Ac: 0.000 0.000 0.137
Ac: 0.000 0.000 0.863
Pu: 0.000 0.000 0.500
Sb: 0.500 0.500 0.000
Sb: 0.500 0.500 0.300
Sb: 0.500 0.500 0.700
Rh: 0.000 0.500 0.394
Rh: 0.000 0.500 0.606
Rh: 0.500 0.000 0.394
Rh: 0.500 0.000 0.606
Rh: 0.500 0.500 0.152
Rh: 0.500 0.500 0.848

Values from the calculation:
- Raw formation energy: -0.50 eV per atom



No. 10
The following is a PBE calculation of an optimized crystal structure of AcPuSb2Rh2, from Alexandria via LeMat-Bulk.

Cell lengths 4.661, 4.661, 7.705 Å; angles 90.00, 90.00, 120.00 degrees
Atoms (fractional coordinates):
Ac: 0.000 0.000 0.000
Pu: 0.000 0.000 0.500
Sb: 0.333 0.667 0.274
Sb: 0.667 0.333 0.726
Rh: 0.333 0.667 0.678
Rh: 0.667 0.333 0.322

Values from the calculation:
- Raw formation energy: -0.79 eV per atom



Calculated magnetization, 1.1384 1.9304 1.4956 1.4905 1.6163 1.8211 1.1836 0.5264 0.2906 0.7537 μB/atom (same order as the records).